Record 1
A relaxed KPrPtO3 crystal, computed with PBE-GGA.

**ΔE_f (raw)**: -1887 meV/atom

Geometry as POSCAR:
```
KPrPtO3
1.0
6.723 -1.995 0.000
6.723 1.995 0.000
-2.073 0.000 7.452
K Pr Pt O
2 2 2 6
Direct
0.142 0.142 0.064
0.858 0.858 0.936
0.150 0.150 0.581
0.850 0.850 0.419
0.493 0.493 0.725
0.507 0.507 0.275
0.007 0.007 0.314
0.332 0.332 0.634
0.347 0.347 0.220
0.653 0.653 0.780
0.668 0.668 0.366
0.993 0.993 0.686
```

***

Record 2
A relaxed KPrPtO4 crystal, computed with PBE-GGA.

**ΔE_f (raw)**: -1660 meV/atom

Geometry as POSCAR:
```
KPrPtO4
1.0
-3.298 3.747 4.748
3.298 -3.747 4.748
3.298 3.747 -4.748
K Pr Pt O
2 2 2 8
Direct
0.386 0.136 0.250
0.614 0.864 0.750
0.000 0.500 0.500
0.500 0.500 0.000
0.000 0.000 0.500
0.000 0.500 0.000
0.171 0.247 0.923
0.176 0.753 0.423
0.219 0.249 0.530
0.219 0.689 0.970
0.781 0.311 0.030
0.781 0.751 0.470
0.824 0.247 0.577
0.829 0.753 0.077
```

***

Record 3
A relaxed K3Pr2PtO6 crystal, computed with PBE-GGA.

**ΔE_f (raw)**: -1879 meV/atom

Geometry as POSCAR:
```
K3Pr2PtO6
1.0
3.054 -5.318 0.000
3.054 5.318 0.000
-1.957 0.000 6.285
K Pr Pt O
3 2 1 6
Direct
0.000 0.000 0.000
0.342 0.658 0.000
0.658 0.342 0.000
0.170 0.830 0.500
0.830 0.170 0.500
0.500 0.500 0.500
0.103 0.432 0.296
0.260 0.260 0.677
0.432 0.103 0.296
0.568 0.897 0.704
0.740 0.740 0.323
0.897 0.568 0.704
```

***

Record 4
A relaxed K4Pr3PtO8 crystal, computed with PBE-GGA.

**ΔE_f (raw)**: -2069 meV/atom
**N(E_F)**: 8.374 states/eV/f.u.

Geometry as POSCAR:
```
K4Pr3PtO8
1.0
6.543 -3.480 0.000
6.543 3.480 0.000
-3.514 0.000 6.414
K Pr Pt O
4 3 1 8
Direct
0.000 0.000 0.000
0.000 0.500 0.000
0.500 0.000 0.000
0.500 0.500 0.000
0.000 0.000 0.500
0.000 0.500 0.500
0.500 0.000 0.500
0.500 0.500 0.500
0.211 0.211 0.257
0.212 0.212 0.690
0.257 0.684 0.664
0.316 0.743 0.336
0.684 0.257 0.664
0.743 0.316 0.336
0.788 0.788 0.310
0.789 0.789 0.743
```

***

Record 5
A relaxed KPrPu2O8 crystal, computed with PBE-GGA.

**ΔE_f (raw)**: -2448 meV/atom
**N(E_F)**: 9.220 states/eV/f.u.

Geometry as POSCAR:
```
KPrPu2O8
1.0
-2.784 2.784 5.230
2.784 -2.784 5.230
2.784 2.784 -5.230
K Pr Pu O
1 1 2 8
Direct
0.000 0.000 0.000
0.250 0.750 0.500
0.500 0.500 0.000
0.750 0.250 0.500
0.132 0.161 0.548
0.132 0.584 0.971
0.416 0.387 0.548
0.416 0.868 0.029
0.613 0.161 0.029
0.613 0.584 0.452
0.839 0.387 0.971
0.839 0.868 0.452
```

***

Record 6
A relaxed K4Pr3PuO8 crystal, computed with PBE-GGA.

**ΔE_f (raw)**: -2515 meV/atom
**N(E_F)**: 6.068 states/eV/f.u.

Geometry as POSCAR:
```
K4Pr3PuO8
1.0
3.655 2.110 6.313
-3.655 2.110 6.313
0.000 -4.221 6.313
K Pr Pu O
4 3 1 8
Direct
0.000 0.000 0.000
0.000 0.500 0.500
0.500 0.000 0.500
0.500 0.500 0.000
0.000 0.000 0.500
0.000 0.500 0.000
0.500 0.000 0.000
0.500 0.500 0.500
0.231 0.231 0.231
0.238 0.727 0.727
0.273 0.273 0.762
0.273 0.762 0.273
0.727 0.238 0.727
0.727 0.727 0.238
0.762 0.273 0.273
0.769 0.769 0.769
```